Computed, not measured: a relaxed structure of AcV2ReO8 at the PBE with a Hubbard U level of DFT.

abc: 4.9962 4.9969 6.8691
angles: 82.81 82.81 79.97
Last column: magnetic moment on the atom in μB.
Atoms (fractional coordinates):
1 O 0.2222 0.7609 0.7956  -0.04
2 O 0.7605 0.7615 0.0675  0.00
3 O 0.2383 0.7771 0.2046  -0.04
4 O 0.7778 0.2391 0.2044  -0.04
5 O 0.3371 0.3364 0.5018  -0.02
6 O 0.2395 0.2385 0.9325  0.00
7 O 0.7617 0.2229 0.7954  -0.04
8 O 0.6629 0.6636 0.4982  -0.02
9 Re 0.0000 0.0000 0.0000  -0.05
10 V 0.5430 0.5431 0.2744  1.09
11 V 0.4570 0.4569 0.7256  1.09
12 Ac 0.0000 0.0000 0.5000  0.00

For the volume, the calculation gives 13.883 A^3/atom. For the spin magnetization, the calculation gives 1.99 μB per formula unit. The calculation puts the final energy at -96.24 eV for the cell shown.